1.
Entry from Alexandria via LeMat-Bulk: a crystal of YPbBr2 relaxed with PBEsol (meta-GGA SCAN).

Values from the calculation:
polymorph energy (0 for the lowest one)	0.396	eV/atom

Cell: 4.7188 4.7188 4.7090 Å, 90.00 90.00 90.00°
Closest atoms and distances in Å follow each position.
Atoms (fractional coordinates):
Y  0.0000  0.0000  0.0000  8 Br 3.33, 4 Pb 3.34
Pb  0.5000  0.5000  0.0000  8 Br 3.33, 4 Y 3.34
Br  0.0000  0.5000  0.5000  4 Pb 3.33, 4 Y 3.33, 4 Br 3.34
Br  0.5000  0.0000  0.5000  4 Pb 3.33, 4 Y 3.33, 4 Br 3.34



2.
Entry from Alexandria via LeMat-Bulk: a crystal of Sr2P2Au relaxed with PBEsol (meta-GGA SCAN).

Values from the calculation:
energy relative to the elements	-0.64	eV per atom

Cell: 9.1888 9.1888 9.1888 Å, 156.93 156.93 32.86°
Closest atoms and distances in Å follow each position.
Atoms (fractional coordinates):
Sr  0.1121  0.1121  0.0000  4 P 3.05, 4 Au 3.26
Sr  0.8879  0.8879  0.0000  4 P 3.05, 4 Au 3.26
P  0.2500  0.7500  0.5000  4 P 2.60
P  0.7500  0.2500  0.5000  4 P 2.60
Au  0.5000  0.5000  0.0000  8 Sr 3.26



3.
Entry from Alexandria via LeMat-Bulk: a crystal of Li3In2 relaxed with PBEsol (meta-GGA SCAN).

Values from the calculation:
energy relative to the elements	-0.41	eV per atom
polymorph energy (0 for the lowest one)	0.000	eV/atom

Cell: 5.5272 5.5272 5.5272 Å, 50.21 50.21 50.21°
Closest atoms and distances in Å follow each position.
Atoms (fractional coordinates):
Li  0.0000  0.0000  0.0000  6 Li 2.90, 2 In 3.00
Li  0.4042  0.4042  0.4042  4 Li 2.77-2.90, 4 In 2.82-2.84
Li  0.5958  0.5958  0.5958  4 Li 2.77-2.90, 4 In 2.82-2.84
In  0.2074  0.2074  0.2074  5 Li 2.82-3.00, 3 In 2.95
In  0.7926  0.7926  0.7926  5 Li 2.82-3.00, 3 In 2.95



4.
Entry from Alexandria via LeMat-Bulk: a crystal of AlTl3Tc relaxed with PBEsol (meta-GGA SCAN).

Values from the calculation:
energy relative to the elements	1.06	eV per atom
polymorph energy (0 for the lowest one)	0.371	eV/atom

Cell: 5.1799 5.1799 5.1799 Å, 90.00 90.00 90.00°
Closest atoms and distances in Å follow each position.
Atoms (fractional coordinates):
Al  0.0000  0.0000  0.0000  6 Tl 2.59
Tl  0.0000  0.0000  0.5000  2 Al 2.59
Tl  0.0000  0.5000  0.0000  2 Al 2.59
Tl  0.5000  0.0000  0.0000  2 Al 2.59
Tc  0.5000  0.5000  0.5000  12 Tl 3.66



5.
Entry from Alexandria via LeMat-Bulk: a crystal of ZnHg2Mo relaxed with PBEsol (meta-GGA SCAN).

Values from the calculation:
energy relative to the elements	0.54	eV per atom

Cell: 2.8966 4.0481 5.9294 Å, 90.00 90.00 90.00°
Closest atoms and distances in Å follow each position.
Atoms (fractional coordinates):
Zn  0.0000  0.0000  0.0000  8 Hg 2.89, 2 Zn 2.90, 2 Mo 2.96
Hg  0.5000  0.5000  0.2482  4 Zn 2.89, 4 Hg 2.90-2.99, 4 Mo 2.90
Hg  0.5000  0.5000  0.7518  4 Zn 2.89, 4 Hg 2.90-2.99, 4 Mo 2.90
Mo  0.0000  0.0000  0.5000  2 Mo 2.90, 8 Hg 2.90, 2 Zn 2.96



6.
Entry from Alexandria via LeMat-Bulk: a crystal of Co2ReMo relaxed with PBEsol (meta-GGA SCAN).

Values from the calculation:
energy relative to the elements	0.15	eV per atom
polymorph energy (0 for the lowest one)	0.063	eV/atom

Cell: 3.6710 3.6710 3.6660 Å, 90.00 90.00 90.00°
Closest atoms and distances in Å follow each position.
Atoms (fractional coordinates):
Co  0.0000  0.5000  0.0000  4 Re 2.59, 4 Mo 2.59, 4 Co 2.60
Co  0.5000  0.0000  0.0000  4 Re 2.59, 4 Mo 2.59, 4 Co 2.60
Re  0.0000  0.0000  0.5000  8 Co 2.59, 4 Mo 2.60
Mo  0.5000  0.5000  0.5000  8 Co 2.59, 4 Re 2.60



7.
Entry from Alexandria via LeMat-Bulk: a crystal of BaSr2CaIr relaxed with PBEsol (meta-GGA SCAN).

Values from the calculation:
energy relative to the elements	-0.09	eV per atom

Cell: 5.8767 5.8767 6.0422 Å, 90.00 90.00 90.00°
Closest atoms and distances in Å follow each position.
Atoms (fractional coordinates):
Ba  0.0000  0.0000  0.0000  2 Ir 3.02
Sr  0.0000  0.5000  0.5000  2 Ir 2.94
Sr  0.5000  0.0000  0.5000  2 Ir 2.94
Ca  0.5000  0.5000  0.0000  4 Ba 4.16, 8 Sr 4.21
Ir  0.0000  0.0000  0.5000  4 Sr 2.94, 2 Ba 3.02



8.
Entry from Alexandria via LeMat-Bulk: a crystal of CdSbPtI2 relaxed with PBEsol (meta-GGA SCAN).

Values from the calculation:
uncorrected energy	-41.144	eV per atom

Cell: 5.4956 5.4956 5.4977 Å, 90.00 90.00 90.00°
Closest atoms and distances in Å follow each position.
Atoms (fractional coordinates):
Cd  0.0000  0.0000  0.0000  4 I 2.75, 2 Sb 2.75
Sb  0.0000  0.0000  0.5000  2 Cd 2.75
Pt  0.5000  0.5000  0.5000  4 Sb 3.89, 8 I 3.89
I  0.0000  0.5000  0.0000  2 Cd 2.75
I  0.5000  0.0000  0.0000  2 Cd 2.75



9.
Entry from Alexandria via LeMat-Bulk: a crystal of SrTl2IrCl relaxed with PBEsol (meta-GGA SCAN).

Values from the calculation:
uncorrected energy	-48.362	eV per atom

Cell: 6.2863 6.2863 4.8883 Å, 90.00 90.00 90.00°
Closest atoms and distances in Å follow each position.
Atoms (fractional coordinates):
Sr  0.0000  0.0000  0.0000  2 Ir 2.44
Tl  0.0000  0.5000  0.0000  2 Sr 3.14
Tl  0.5000  0.0000  0.0000  2 Sr 3.14
Ir  0.0000  0.0000  0.5000  2 Sr 2.44
Cl  0.5000  0.5000  0.5000  8 Tl 3.98, 4 Ir 4.45



10.
Entry from Alexandria via LeMat-Bulk: a crystal of CaTl2Si2 relaxed with PBEsol (meta-GGA SCAN).

Values from the calculation:
uncorrected energy	-34.768	eV per atom

Cell: 7.0553 7.0553 7.0553 Å, 143.57 143.57 52.47°
Closest atoms and distances in Å follow each position.
Atoms (fractional coordinates):
Ca  0.0000  0.0000  0.0000  8 Si 3.32
Tl  0.2500  0.7500  0.5000  4 Si 3.00, 4 Tl 3.12
Tl  0.7500  0.2500  0.5000  4 Si 3.00, 4 Tl 3.12
Si  0.4104  0.4104  0.0000  1 Si 2.27
Si  0.5896  0.5896  0.0000  1 Si 2.27



11.
Entry from Alexandria via LeMat-Bulk: a crystal of ScZnHg relaxed with PBEsol (meta-GGA SCAN).

Values from the calculation:
energy relative to the elements	-0.51	eV per atom

Cell: 4.5049 4.5049 3.1871 Å, 90.00 90.00 120.00°
Closest atoms and distances in Å follow each position.
Atoms (fractional coordinates):
Sc  0.0000  0.0000  0.0000  6 Hg 3.05, 6 Zn 3.05, 2 Sc 3.19
Zn  0.3333  0.6667  0.5000  3 Hg 2.60
Hg  0.6667  0.3333  0.5000  3 Zn 2.60



12.
Entry from Alexandria via LeMat-Bulk: a crystal of RbUO3 relaxed with PBEsol (meta-GGA SCAN).

Values from the calculation:
uncorrected energy	-31.692	eV per atom

Cell: 4.3092 4.3092 4.3092 Å, 90.00 90.00 90.00°
Closest atoms and distances in Å follow each position.
Atoms (fractional coordinates):
Rb  0.0000  0.0000  0.0000  12 O 3.05
U  0.5000  0.5000  0.5000  6 O 2.15
O  0.0000  0.5000  0.5000  2 U 2.15
O  0.5000  0.0000  0.5000  2 U 2.15
O  0.5000  0.5000  0.0000  2 U 2.15